[1]
# LiCa PBE relaxed
data_LiCa
_chemical_formula_sum 'Li2 Ca2'
_space_group_name_H-M_alt 'P 1'
_space_group_IT_number 1
_space_group_name_Hall 'P 1'
_cell_length_a 5.6740
_cell_length_b 5.6740
_cell_length_c 5.6740
_cell_angle_alpha 60.00
_cell_angle_beta 60.00
_cell_angle_gamma 60.00
loop_
_atom_site_label
_atom_site_type_symbol
_atom_site_fract_x
_atom_site_fract_y
_atom_site_fract_z
_atom_site_occupancy
Li1 Li 0.1250 0.1250 0.1250 1
Li2 Li 0.8750 0.8750 0.8750 1
Ca1 Ca 0.3750 0.3750 0.3750 1
Ca2 Ca 0.6250 0.6250 0.6250 1
# * D(E_F): 0.764 states/eV/atom
# * magnetization: 0.000 μB/f.u.
# * space group: Fd-3m, No. 227
# * ΔH_f (0 K): 0.135 eV/atom
# * relative energy among the computed polymorphs: 0.124 eV/atom
# * DFT total energy: -7.29 eV/cell



[2]
# RbBa2NpO6 PBE relaxed
data_RbBa2NpO6
_chemical_formula_sum 'Rb2 Ba4 Np2 O12'
_space_group_name_H-M_alt 'P 1'
_space_group_IT_number 1
_space_group_name_Hall 'P 1'
_cell_length_a 6.3403
_cell_length_b 6.7061
_cell_length_c 11.0351
_cell_angle_alpha 90.00
_cell_angle_beta 124.08
_cell_angle_gamma 90.00
loop_
_atom_site_label
_atom_site_type_symbol
_atom_site_fract_x
_atom_site_fract_y
_atom_site_fract_z
_atom_site_occupancy
Rb1 Rb 0.0000 0.0000 0.0000 1
Rb2 Rb 0.0000 0.5000 0.5000 1
Ba1 Ba 0.2233 0.0428 0.7367 1
Ba2 Ba 0.2233 0.4572 0.2367 1
Ba3 Ba 0.7767 0.5428 0.7633 1
Ba4 Ba 0.7767 0.9572 0.2633 1
Np1 Np 0.5000 0.0000 0.5000 1
Np2 Np 0.5000 0.5000 0.0000 1
O1 O 0.2007 0.1589 0.4664 1
O2 O 0.2007 0.3411 0.9664 1
O3 O 0.2564 0.7377 0.9062 1
O4 O 0.2564 0.7623 0.4062 1
O5 O 0.4191 0.0854 0.3010 1
O6 O 0.4191 0.4146 0.8010 1
O7 O 0.5809 0.5854 0.1990 1
O8 O 0.5809 0.9146 0.6990 1
O9 O 0.7436 0.2377 0.5938 1
O10 O 0.7436 0.2623 0.0938 1
O11 O 0.7993 0.6589 0.0336 1
O12 O 0.7993 0.8411 0.5336 1
# * magnetization: 0.000 μB/f.u.
# * space group: P2_1/c, No. 14
# * energy relative to the elements, uncorrected: -2.6597 eV/atom
# * DFT total energy: -148.20 eV/cell



[3]
# SnHgS PBE relaxed
data_SnHgS
_chemical_formula_sum 'Sn2 Hg2 S2'
_space_group_name_H-M_alt 'P 1'
_space_group_IT_number 1
_space_group_name_Hall 'P 1'
_cell_length_a 7.7622
_cell_length_b 7.7622
_cell_length_c 5.9552
_cell_angle_alpha 90.00
_cell_angle_beta 90.00
_cell_angle_gamma 151.72
loop_
_atom_site_label
_atom_site_type_symbol
_atom_site_fract_x
_atom_site_fract_y
_atom_site_fract_z
_atom_site_occupancy
Sn1 Sn 0.1788 0.8212 0.7500 1
Sn2 Sn 0.8212 0.1788 0.2500 1
Hg1 Hg 0.5000 0.5000 0.0000 1
Hg2 Hg 0.5000 0.5000 0.5000 1
S1 S 0.2021 0.7979 0.2500 1
S2 S 0.7979 0.2021 0.7500 1
# * D(E_F): 0.109 states/eV/atom
# * magnetization: 0.000 μB/f.u.
# * space group: Cmcm, No. 63
# * relative energy among the computed polymorphs: 0.010 eV/atom
# * energy relative to the elements, uncorrected: -0.2395 eV/atom
# * DFT total energy: -18.30 eV/cell



[4]
# SnS4Cl PBE relaxed
data_SnS4Cl
_chemical_formula_sum 'Sn2 S8 Cl2'
_space_group_name_H-M_alt 'P 1'
_space_group_IT_number 1
_space_group_name_Hall 'P 1'
_cell_length_a 4.0135
_cell_length_b 5.7886
_cell_length_c 17.2475
_cell_angle_alpha 89.81
_cell_angle_beta 84.88
_cell_angle_gamma 71.12
loop_
_atom_site_label
_atom_site_type_symbol
_atom_site_fract_x
_atom_site_fract_y
_atom_site_fract_z
_atom_site_occupancy
Sn1 Sn 0.1343 0.2525 0.2641 1
Sn2 Sn 0.8657 0.7475 0.7359 1
S1 S 0.1596 0.7051 0.5916 1
S2 S 0.1746 0.1986 0.9559 1
S3 S 0.3411 0.8577 0.9354 1
S4 S 0.4428 0.9222 0.6124 1
S5 S 0.5572 0.0778 0.3876 1
S6 S 0.6589 0.1423 0.0646 1
S7 S 0.8254 0.8014 0.0441 1
S8 S 0.8404 0.2949 0.4084 1
Cl1 Cl 0.3840 0.6045 0.2490 1
Cl2 Cl 0.6160 0.3955 0.7510 1
# * D(E_F): 0.252 states/eV/atom
# * magnetization: 0.000 μB/f.u.
# * space group: P-1, No. 2
# * energy relative to the elements, uncorrected: -0.1783 eV/atom
# * DFT total energy: -46.86 eV/cell